Density functional theory data (PBE) for an optimized crystal structure of CrSi2I.

Geometry as extended XYZ:
```
4
Lattice="0.000 3.242 3.242 3.242 0.000 3.242 3.242 3.242 0.000" Properties=species:S:1:pos:R:3 pbc="T T T"
I 3.242 3.242 3.242
Cr 0.000 0.000 0.000
Si 1.621 1.621 1.621
Si 4.862 4.862 4.862
```

## Properties
Energy relative to the lowest polymorph listed for this composition = 555 meV per atom
Raw formation energy = 1.290 eV per atom

Density functional theory data (PBE) for an optimized crystal structure of SrCr2SiI.

Geometry as extended XYZ:
```
5
Lattice="-2.427 5.538 -1.154 -3.212 -2.254 -4.058 -4.442 -1.088 4.121" Properties=species:S:1:pos:R:3 pbc="T T T"
I -5.041 1.098 -0.546
Sr 0.000 0.000 0.000
Si -1.606 -1.127 -2.029
Cr -2.221 -0.544 2.060
Cr -1.214 2.769 -0.577
```

## Properties
Raw formation energy = 1.756 eV per atom

Density functional theory data (PBE) for an optimized crystal structure of TaCrSiI2.

Geometry as extended XYZ:
```
5
Lattice="5.298 0.000 0.000 0.000 4.666 0.000 0.000 0.000 5.298" Properties=species:S:1:pos:R:3 pbc="T T T"
I 0.000 0.000 2.649
I 2.649 0.000 0.000
Cr 0.000 0.000 0.000
Si 0.000 2.333 0.000
Ta 2.649 2.333 2.649
```

## Properties
Raw formation energy = 1.351 eV per atom

Density functional theory data (PBE) for an optimized crystal structure of CrSiTe2I.

Geometry as extended XYZ:
```
5
Lattice="4.985 0.000 0.000 0.000 4.985 0.000 0.000 0.000 5.633" Properties=species:S:1:pos:R:3 pbc="T T T"
I 0.000 0.000 2.816
Cr 0.000 0.000 0.000
Si 2.492 2.492 2.816
Te 0.000 2.492 0.000
Te 2.492 0.000 0.000
```

## Properties
Energy relative to the lowest polymorph listed for this composition = 128 meV per atom
Raw formation energy = 0.783 eV per atom

Density functional theory data (PBE) for an optimized crystal structure of CrSiTe2I.

Geometry as extended XYZ:
```
5
Lattice="-4.244 -0.954 3.051 3.069 0.205 4.333 -0.927 5.404 0.401" Properties=species:S:1:pos:R:3 pbc="T T T"
I -0.463 2.702 0.201
Cr -1.051 2.327 3.893
Si 0.000 0.000 0.000
Te 1.534 0.102 2.167
Te -2.122 -0.477 1.526
```

## Properties
Energy relative to the lowest polymorph listed for this composition = 0 meV per atom
Raw formation energy = 0.655 eV per atom

Density functional theory data (PBE) for an optimized crystal structure of SmCrI6.

Geometry as extended XYZ:
```
8
Lattice="7.361 0.010 0.011 3.673 6.379 0.014 3.669 2.120 6.637" Properties=species:S:1:pos:R:3 pbc="T T T"
Sm 7.351 4.255 3.331
Cr 0.000 0.000 0.000
I 4.782 4.109 5.069
I 8.756 2.101 5.072
I 6.194 1.963 1.585
I 5.947 6.409 1.590
I 9.921 4.400 1.593
I 8.509 6.546 5.078
```

## Properties
Raw formation energy = -0.784 eV per atom

Density functional theory data (PBE) for an optimized crystal structure of CrSn2I.

Geometry as extended XYZ:
```
4
Lattice="-0.622 3.553 3.784 -3.240 4.040 -0.715 -4.503 0.240 2.646" Properties=species:S:1:pos:R:3 pbc="T T T"
I -4.182 3.917 2.857
Cr 0.000 0.000 0.000
Sn -2.091 1.958 1.429
Sn -6.273 5.875 4.286
```

## Properties
Energy relative to the lowest polymorph listed for this composition = 532 meV per atom
Raw formation energy = 1.117 eV per atom

Density functional theory data (PBE) for an optimized crystal structure of CrSn2I2.

Geometry as extended XYZ:
```
5
Lattice="-3.722 -0.348 -1.206 -0.794 -2.269 3.107 -4.910 7.395 6.628" Properties=species:S:1:pos:R:3 pbc="T T T"
I -2.676 0.062 1.845
I -6.751 4.717 6.685
Cr 0.000 0.000 0.000
Sn -5.445 2.870 3.186
Sn -3.982 1.909 5.343
```

## Properties
Energy relative to the lowest polymorph listed for this composition = 608 meV per atom
Raw formation energy = 0.885 eV per atom

Density functional theory data (PBE) for an optimized crystal structure of CrSn2I2.

Geometry as extended XYZ:
```
10
Lattice="7.332 0.000 0.000 0.000 7.332 0.000 0.000 0.000 6.407" Properties=species:S:1:pos:R:3 pbc="T T T"
I 2.365 6.031 0.000
I 6.031 4.967 0.000
I 4.967 1.301 0.000
I 1.301 2.365 0.000
Cr 0.000 0.000 0.000
Cr 3.666 3.666 0.000
Sn 1.976 5.642 3.203
Sn 5.642 5.355 3.203
Sn 5.355 1.689 3.203
Sn 1.689 1.976 3.203
```

## Properties
Energy relative to the lowest polymorph listed for this composition = 0 meV per atom
Raw formation energy = 0.276 eV per atom

Density functional theory data (PBE) for an optimized crystal structure of Cr3SnI.

Geometry as extended XYZ:
```
5
Lattice="-3.569 3.426 -1.793 -2.031 0.416 4.837 3.291 3.972 1.040" Properties=species:S:1:pos:R:3 pbc="T T T"
I -1.154 3.907 2.042
Cr -1.015 0.208 2.418
Cr 1.645 1.986 0.520
Cr -1.784 1.713 -0.896
Sn 0.000 0.000 0.000
```

## Properties
Energy relative to the lowest polymorph listed for this composition = 0 meV per atom
Raw formation energy = 1.039 eV per atom

Density functional theory data (PBE) for an optimized crystal structure of CrSnI4.

Geometry as extended XYZ:
```
6
Lattice="4.328 0.000 0.000 0.000 7.430 -0.560 0.000 0.091 7.700" Properties=species:S:1:pos:R:3 pbc="T T T"
Cr 2.164 0.046 3.850
Sn 0.000 0.000 0.000
I 0.000 1.692 4.952
I 2.164 5.765 5.576
I 2.164 1.756 1.564
I 0.000 5.829 2.188
```

## Properties
Raw formation energy = -0.362 eV per atom

Density functional theory data (PBE) for an optimized crystal structure of CrSn3I.

Geometry as extended XYZ:
```
5
Lattice="5.180 0.000 0.000 0.000 5.180 0.000 0.000 0.000 5.180" Properties=species:S:1:pos:R:3 pbc="T T T"
I 2.590 2.590 2.590
Cr 0.000 0.000 0.000
Sn 0.000 2.590 0.000
Sn 0.000 0.000 2.590
Sn 2.590 0.000 0.000
```

## Properties
Energy relative to the lowest polymorph listed for this composition = 0 meV per atom
Raw formation energy = 0.112 eV per atom

Q: raw formation energy of number 9 (CrSn2I2)?
A: 0.276 eV per atom

Q: Which of these has the highest raw formation energy?
A: SrCr2SiI